[1]
Compound: Ac8Ni3AsI4
Source: the Alexandria database
Functional: PBE
Structure: optimized geometry

It has space group R-3m (No. 166, hexagonal axes), with a = 8.8786 Å, b = 8.8786 Å, c = 25.4336 Å, α = 90.00°, β = 90.00° and γ = 120.00°. The inequivalent atoms are Ac at (0.0000, 0.0000, 0.2277), Ac at (0.0142, 0.5071, 0.7702), Ni at (0.0000, 0.5000, 0.5000), As at (0.0000, 0.0000, 0.5000), I at (0.0000, 0.0000, 0.0000) and I at (0.0000, 0.5000, 0.0000).

The calculation puts the raw formation energy at -0.817 eV/atom.

=====

[2]
Compound: Y4SbRh
Source: the Alexandria database
Functional: PBE
Structure: optimized geometry

It has space group C2/c (No. 15), with a = 9.0074 Å, b = 13.5157 Å, c = 6.1100 Å, α = 90.00°, β = 116.65° and γ = 90.00°. The inequivalent atoms are Y at (0.1148, 0.1761, 0.0781), Y at (0.2169, 0.4298, 0.3229), Sb at (0.0000, 0.3737, 0.7500) and Rh at (0.0000, 0.0011, 0.2500).

The calculation puts the raw formation energy at -0.676 eV/atom. For the distance to the lowest polymorph of the same formula, the calculation gives 0.11 eV per formula unit.

=====

[3]
Compound: ZrTlSe2
Source: the Alexandria database
Functional: PBE
Structure: optimized geometry

It has space group Fm-3m (No. 225), with a = 7.1328 Å, b = 7.1328 Å, c = 7.1328 Å, α = 90.00°, β = 90.00° and γ = 90.00°. The inequivalent atoms are Zr at (0.0000, 0.0000, 0.0000), Tl at (0.0000, 0.0000, 0.5000) and Se at (0.2500, 0.2500, 0.2500).

The calculation puts the raw formation energy at -0.460 eV/atom.

=====

[4]
Compound: TbTh2N
Source: the Alexandria database
Functional: PBE
Structure: optimized geometry

It has space group R-3m (No. 166, hexagonal axes), with a = 3.5284 Å, b = 3.5284 Å, c = 29.3528 Å, α = 90.00°, β = 90.00° and γ = 120.00°. The inequivalent atoms are Tb at (0.0000, 0.0000, 0.0000), Th at (0.0000, 0.0000, 0.1163) and N at (0.0000, 0.0000, 0.5000).

The calculation puts the raw formation energy at -0.454 eV/atom.

=====

[5]
Compound: Pu2InSb
Source: the Alexandria database
Functional: PBE
Structure: optimized geometry

It has space group P4/mmm (No. 123), with a = 4.7798 Å, b = 4.7798 Å, c = 4.5742 Å, α = 90.00°, β = 90.00° and γ = 90.00°. The inequivalent atoms are Pu at (0.0000, 0.5000, 0.0000), In at (0.0000, 0.0000, 0.5000) and Sb at (0.5000, 0.5000, 0.5000).

The calculation puts the raw formation energy at -0.398 eV/atom. For the distance to the lowest polymorph of the same formula, the calculation gives 0.00 eV per formula unit.

=====

[6]
Compound: YCu2H
Source: the Alexandria database
Functional: PBE
Structure: optimized geometry

It has space group Fm-3m (No. 225), with a = 6.3869 Å, b = 6.3869 Å, c = 6.3869 Å, α = 90.00°, β = 90.00° and γ = 90.00°. The inequivalent atoms are Y at (0.0000, 0.0000, 0.0000), Cu at (0.2500, 0.2500, 0.2500) and H at (0.0000, 0.0000, 0.5000).

For the distance to the lowest polymorph of the same formula, the calculation gives 1.80 eV per formula unit.

=====

[7]
Compound: Na5Zn2Au5
Source: the Alexandria database
Functional: PBE
Structure: optimized geometry

It has space group C2/m (No. 12), with a = 8.3833 Å, b = 4.8235 Å, c = 12.6896 Å, α = 90.00°, β = 102.99° and γ = 90.00°. The inequivalent atoms are Na at (0.0000, 0.0000, 0.0000), Na at (0.1931, 0.0000, 0.5758), Na at (0.2213, 0.5000, 0.1697), Zn at (0.0758, 0.5000, 0.7125), Au at (0.0000, 0.5000, 0.5000), Au at (0.0950, 0.0000, 0.2965) and Au at (0.1425, 0.5000, 0.9279).

The calculation puts the formation energy at -0.26 eV/atom.

=====

Calculated raw total energy (eV per cell), listed in the same order as above: -222.42 -165.54 -78.89 -88.83 -37.12 -64.38 -57.37
Calculated total moment (μB per atom), listed in the same order as above: 0.00 0.00 0.25 0.00 2.97 0.00 0.00